IrRuPt2 PBE optimized geometry; energy of formation = 0.07 eV/atom; symmetry = Pmmm
1.0
-1.9621 -0.4515 3.3540
-1.8435 -1.5943 -1.2931
1.1911 -6.0599 -0.1189
Ru Pt Ir
1 2 1
Direct
0.5000 0.2500 0.2500
0.0000 0.9968 0.0030
0.0000 0.5032 0.4970
0.5000 0.7500 0.7500


Sc2PtBr PBE optimized geometry; symmetry = P4/mmm; ΔE_f (raw) = -0.92 eV per atom
1.0
-3.1527 0.9477 -0.0421
-0.9042 -2.9518 1.1439
0.6895 2.6175 7.2992
Sc Pt Br
2 1 1
Direct
0.0000 0.0000 0.9578
0.0000 0.0000 0.5422
0.5000 0.5000 0.7500
0.5000 0.5000 0.2500


BaAs4Pd6 PBE optimized geometry; energy of formation = -0.47 eV/atom; symmetry = I-42m
1.0
-2.9712 -5.0129 -3.2318
4.3606 -1.6158 4.7724
-3.8214 3.7582 3.9592
As Pd Ba
4 6 1
Direct
0.0000 0.5545 0.1434
0.5889 0.4455 0.4455
0.0000 0.1434 0.5545
0.4111 0.8566 0.8566
0.0000 0.4727 0.7773
0.0000 0.7773 0.4727
0.5000 0.5000 0.0000
0.3046 0.5273 0.5273
0.6954 0.2227 0.2227
0.5000 0.0000 0.5000
0.0000 0.0000 0.0000


SrAlAs2S8 PBE optimized geometry; symmetry = P-3; ΔE_f (raw) = -0.44 eV per atom
1.0
6.0404 0.0000 0.0000
-3.0202 5.2311 0.0000
0.0000 0.0000 8.7034
S Sr As Al
8 1 2 1
Direct
0.2929 0.3058 0.3182
0.9870 0.2929 0.6818
0.6667 0.3333 0.0132
0.6942 0.9870 0.3182
0.3333 0.6667 0.9868
0.7071 0.6942 0.6818
0.3058 0.0130 0.6818
0.0130 0.7071 0.3182
0.0000 0.0000 0.0000
0.3333 0.6667 0.7364
0.6667 0.3333 0.2636
0.0000 0.0000 0.5000


TcSeCl2 PBE optimized geometry; symmetry = P4/mmm; ΔE_f (raw) = 0.88 eV per atom
1.0
5.0665 0.0000 0.0000
0.0000 5.0665 0.0000
0.0000 0.0000 3.2009
Cl Tc Se
2 1 1
Direct
0.0000 0.0000 0.0000
0.5000 0.5000 0.0000
0.0000 0.5000 0.5000
0.5000 0.0000 0.5000


Zr2GaPdPt5 PBE optimized geometry; energy of formation = -0.26 eV/atom; symmetry = I4/mcm
1.0
-3.5741 -7.3865 0.3920
1.9413 -0.5166 7.9657
-3.6228 6.1645 -2.9535
Pt Ga Pd Zr
10 2 2 4
Direct
0.4387 0.3274 0.2660
0.9387 0.4387 0.2660
0.8274 0.9387 0.2660
0.1726 0.0613 0.7340
0.0000 0.0000 0.0000
0.5613 0.6726 0.7340
0.6726 0.1726 0.7340
0.3274 0.8274 0.2660
0.5000 0.5000 0.0000
0.0613 0.5613 0.7340
0.7500 0.7500 0.5000
0.2500 0.2500 0.5000
0.7500 0.2500 0.5000
0.2500 0.7500 0.5000
0.6218 0.1218 0.0000
0.3782 0.8782 0.0000
0.1218 0.3782 0.0000
0.8782 0.6218 0.0000